Material: ScCuMo2
Method: DFT, PBE
State: optimized geometry

```
data_ScCuMo2
_chemical_formula_sum 'Sc1 Cu1 Mo2'
_cell_length_a 5.0664
_cell_length_b 5.0664
_cell_length_c 5.0664
_cell_angle_alpha 140.56
_cell_angle_beta 126.34
_cell_angle_gamma 68.60
_space_group_name_H-M_alt 'P 1'
_space_group_IT_number 1
loop_
_space_group_symop_operation_xyz
'x,y,z'
loop_
_atom_site_label
_atom_site_fract_x
_atom_site_fract_y
_atom_site_fract_z
_atom_site_occupancy
Mo1 0.2339 0.7339 0.5000 1
Sc1 0.4971 0.4971 0.0000 1
Cu1 0.7574 0.2574 0.5000 1
Mo2 0.0116 0.0116 0.0000 1
```

## Properties
Calculated total energy: -7.85 eV per atom
E_form: 0.7 eV per formula unit
Relative energy among the computed polymorphs: 0.134 eV/atom